(1)
YTe2ICl: relaxed, PBE.

Results
E above lowest polymorph = 0.00 eV per formula unit
Density = 4.0 g cm⁻³
Magnetic moment = 0.492 μB/atom

a = 5.968 Å, b = 5.968 Å, c = 5.880 Å
α = 90.00°, β = 90.00°, γ = 90.00°
Space group P4/mmm (No. 123)
One atom of each set of equivalent atoms:
1 Y 0.000 0.000 0.000 (multiplicity 1)
2 Te 0.000 0.500 0.000 (multiplicity 2)
3 I 0.000 0.000 0.500 (multiplicity 1)
4 Cl 0.500 0.500 0.500 (multiplicity 1)

(2)
YTe2ICl: relaxed, PBE.

Results
E above lowest polymorph = 2.07 eV per formula unit
Density = 5.2 g cm⁻³
Magnetic moment = 0.000 μB/atom

a = 5.569 Å, b = 5.569 Å, c = 5.258 Å
α = 90.00°, β = 90.00°, γ = 90.00°
Space group P4/mmm (No. 123)
One atom of each set of equivalent atoms:
1 Y 0.000 0.000 0.000 (multiplicity 1)
2 Te 0.000 0.500 0.500 (multiplicity 2)
3 I 0.500 0.500 0.000 (multiplicity 1)
4 Cl 0.500 0.500 0.500 (multiplicity 1)

(3)
YTeI2Cl: relaxed, PBE.

Results
E above lowest polymorph = 0.00 eV per formula unit
Density = 3.9 g cm⁻³
Magnetic moment = 0.414 μB/atom

a = 5.889 Å, b = 5.889 Å, c = 6.225 Å
α = 90.00°, β = 90.00°, γ = 90.00°
Space group P4/mmm (No. 123)
One atom of each set of equivalent atoms:
1 Y 0.000 0.000 0.000 (multiplicity 1)
2 Te 0.000 0.000 0.500 (multiplicity 1)
3 I 0.000 0.500 0.000 (multiplicity 2)
4 Cl 0.500 0.500 0.500 (multiplicity 1)

| no. | E (Ry/atom) |
| --- | --- |
| 1 | -0.2611 |
| 2 | -0.2306 |
| 3 | -0.2553 |